DFT (GGA-PBE) results for In6SnS8 after structural relaxation.

a b c (Å): 7.2569 7.2569 7.2569
angles (deg): 90.82 90.82 90.82
Atoms (fractional coordinates):
In  0.6155  0.1248  0.3783
In  0.3783  0.6155  0.1248
In  0.1248  0.3783  0.6155
In  0.8752  0.6217  0.3845
In  0.6217  0.3845  0.8752
In  0.3845  0.8752  0.6217
Sn  0.0000  0.0000  0.0000
S  0.8308  0.1672  0.6787
S  0.3213  0.1692  0.8328
S  0.6697  0.6697  0.6697
S  0.1692  0.8328  0.3213
S  0.8328  0.3213  0.1692
S  0.1672  0.6787  0.8308
S  0.3303  0.3303  0.3303
S  0.6787  0.8308  0.1672

Calculated values
total moment	0.0	μB per cell
theoretical density	4.6	Mg/m³
energy relative to the elements, uncorrected	-5.4	eV/f.u.
total DFT energy (no corrections)	-3.923	eV/atom